a.
Material: Na2Zn2Pb
Method: DFT, PBE
State: optimized geometry

Geometry as POSCAR:
```
Na2Zn2Pb
1.0
-1.781 1.781 10.163
1.781 -1.781 10.163
1.781 1.781 -10.163
Na Zn Pb
2 2 1
Direct
0.114 0.114 0.000
0.886 0.886 0.000
0.250 0.750 0.500
0.750 0.250 0.500
0.500 0.500 0.000
```

Calculated values
- symmetry = I4/mmm (139)
- ρ (g/cm³) = 4.95
- magnetic moment (Bohr magnetons per cell) = 0.00

---

b.
Material: Na2Zn2Pb
Method: DFT, PBE
State: optimized geometry

Geometry as POSCAR:
```
Na2Zn2Pb
1.0
-2.202 2.202 6.561
2.202 -2.202 6.561
2.202 2.202 -6.561
Na Zn Pb
2 2 1
Direct
0.250 0.750 0.500
0.750 0.250 0.500
0.094 0.094 0.000
0.906 0.906 0.000
0.500 0.500 0.000
```

Calculated values
- symmetry = I4/mmm (139)
- ρ (g/cm³) = 5.01
- magnetic moment (Bohr magnetons per cell) = 0.00

---

c.
Material: Na2Zn2Pb
Method: DFT, PBE
State: optimized geometry

Geometry as POSCAR:
```
Na2Zn2Pb
1.0
8.680 0.000 0.000
0.000 8.680 0.000
0.000 0.000 3.284
Na Zn Pb
4 4 2
Direct
0.134 0.366 0.000
0.366 0.866 0.000
0.634 0.134 0.000
0.866 0.634 0.000
0.162 0.662 0.500
0.338 0.162 0.500
0.662 0.838 0.500
0.838 0.338 0.500
0.000 0.000 0.000
0.500 0.500 0.000
```

Calculated values
- symmetry = P4/mbm (127)
- ρ (g/cm³) = 5.15
- magnetic moment (Bohr magnetons per cell) = 0.00

---

d.
Material: Na2Zn2Pb
Method: DFT, PBE
State: optimized geometry

Geometry as POSCAR:
```
Na2Zn2Pb
1.0
7.790 0.000 0.000
0.000 7.790 0.000
0.000 0.000 3.978
Na Zn Pb
4 4 2
Direct
0.178 0.322 0.000
0.322 0.822 0.000
0.678 0.178 0.000
0.822 0.678 0.000
0.117 0.617 0.500
0.383 0.117 0.500
0.617 0.883 0.500
0.883 0.383 0.500
0.000 0.000 0.500
0.500 0.500 0.500
```

Calculated values
- symmetry = P4/mbm (127)
- ρ (g/cm³) = 5.28
- magnetic moment (Bohr magnetons per cell) = 0.00

---

Tell me which of them is the least stable. Sure, it is b.

---

a.
Material: NaZn2Pb2
Method: DFT, PBE
State: optimized geometry

Geometry as POSCAR:
```
NaZn2Pb2
1.0
-2.294 2.294 6.411
2.294 -2.294 6.411
2.294 2.294 -6.411
Na Zn Pb
1 2 2
Direct
0.000 0.000 0.000
0.250 0.750 0.500
0.750 0.250 0.500
0.381 0.381 0.000
0.619 0.619 0.000
```

Calculated values
- symmetry = I4/mmm (139)
- ρ (g/cm³) = 6.99
- magnetic moment (Bohr magnetons per cell) = 0.00

---

b.
Material: NaZn2Pb2
Method: DFT, PBE
State: optimized geometry

Geometry as POSCAR:
```
NaZn2Pb2
1.0
8.629 0.000 0.000
0.000 8.629 0.000
0.000 0.000 3.440
Na Zn Pb
2 4 4
Direct
0.000 0.000 0.000
0.500 0.500 0.000
0.149 0.351 0.500
0.351 0.851 0.500
0.649 0.149 0.500
0.851 0.649 0.500
0.146 0.646 0.000
0.354 0.146 0.000
0.646 0.854 0.000
0.854 0.354 0.000
```

Calculated values
- symmetry = P4/mbm (127)
- ρ (g/cm³) = 7.37
- magnetic moment (Bohr magnetons per cell) = 0.00

---

c.
Material: NaZn2Pb2
Method: DFT, PBE
State: optimized geometry

Geometry as POSCAR:
```
NaZn2Pb2
1.0
-2.426 2.426 5.783
2.426 -2.426 5.783
2.426 2.426 -5.783
Na Zn Pb
1 2 2
Direct
0.000 0.000 0.000
0.395 0.395 0.000
0.605 0.605 0.000
0.250 0.750 0.500
0.750 0.250 0.500
```

Calculated values
- symmetry = I4/mmm (139)
- ρ (g/cm³) = 6.93
- magnetic moment (Bohr magnetons per cell) = 0.00

---

d.
Material: NaZn2Pb2
Method: DFT, PBE
State: optimized geometry

Geometry as POSCAR:
```
NaZn2Pb2
1.0
8.149 0.000 0.000
0.000 8.149 0.000
0.000 0.000 3.731
Na Zn Pb
2 4 4
Direct
0.000 0.000 0.000
0.500 0.500 0.000
0.114 0.386 0.000
0.386 0.886 0.000
0.614 0.114 0.000
0.886 0.614 0.000
0.185 0.685 0.500
0.315 0.185 0.500
0.685 0.815 0.500
0.815 0.315 0.500
```

Calculated values
- symmetry = P4/mbm (127)
- ρ (g/cm³) = 7.62
- magnetic moment (Bohr magnetons per cell) = 0.00

---

Tell me which of them is the least stable. Sure, it is b.

---

a.
Material: NaZnPb3
Method: DFT, PBE
State: optimized geometry

Geometry as POSCAR:
```
NaZnPb3
1.0
5.558 0.000 0.000
0.000 5.558 0.000
0.000 0.000 5.558
Na Zn Pb
1 1 3
Direct
0.000 0.000 0.000
0.500 0.500 0.500
0.000 0.000 0.500
0.000 0.500 0.000
0.500 0.000 0.000
```

Calculated values
- symmetry = Pm-3m (221)
- ρ (g/cm³) = 6.87
- magnetic moment (Bohr magnetons per cell) = 0.00

---

b.
Material: NaZnPb3
Method: DFT, PBE
State: optimized geometry

Geometry as POSCAR:
```
NaZnPb3
1.0
5.511 0.000 0.000
0.000 5.511 0.000
0.000 0.000 5.511
Na Zn Pb
1 1 3
Direct
0.000 0.000 0.000
0.500 0.500 0.500
0.000 0.500 0.500
0.500 0.000 0.500
0.500 0.500 0.000
```

Calculated values
- symmetry = Pm-3m (221)
- ρ (g/cm³) = 7.05
- magnetic moment (Bohr magnetons per cell) = 0.00

---

Tell me which of them is the least stable. Sure, it is a.

---

a.
Material: NaZr3Pb
Method: DFT, PBE
State: optimized geometry

Geometry as POSCAR:
```
NaZr3Pb
1.0
5.026 0.000 0.000
0.000 5.026 0.000
0.000 0.000 5.026
Na Zr Pb
1 3 1
Direct
0.000 0.000 0.000
0.000 0.000 0.500
0.000 0.500 0.000
0.500 0.000 0.000
0.500 0.500 0.500
```

Calculated values
- symmetry = Pm-3m (221)
- ρ (g/cm³) = 6.59
- magnetic moment (Bohr magnetons per cell) = 0.68

---

b.
Material: NaZr3Pb
Method: DFT, PBE
State: optimized geometry

Geometry as POSCAR:
```
NaZr3Pb
1.0
5.505 0.000 0.000
0.000 5.505 0.000
0.000 0.000 5.505
Na Zr Pb
1 3 1
Direct
0.000 0.000 0.000
0.000 0.500 0.500
0.500 0.000 0.500
0.500 0.500 0.000
0.500 0.500 0.500
```

Calculated values
- symmetry = Pm-3m (221)
- ρ (g/cm³) = 5.01
- magnetic moment (Bohr magnetons per cell) = 0.00

---

Tell me which of them is the least stable. Sure, it is a.